Entry 1:
# GGA-PBE Pm4Ag3Hg, optimized geometry
# - space group = Pmm2
# - ΔE_f (meV per atom) = -294
# - relative energy among the computed polymorphs (meV per atom) = 27
# - Fermi-level density of states (states/eV/f.u.) = 8.4
data_Pm4Ag3Hg
_symmetry_space_group_name_H-M 'P 1'
_symmetry_Int_Tables_number 1
_symmetry_space_group_name_Hall 'P 1'
_cell_length_a 3.8132
_cell_length_b 4.9149
_cell_length_c 11.5419
_cell_angle_alpha 90.00
_cell_angle_beta 90.00
_cell_angle_gamma 90.00
loop_
_atom_site_label
_atom_site_fract_x
_atom_site_fract_y
_atom_site_fract_z
_atom_site_occupancy
Pm1 0.0000 0.0000 0.0000 1
Pm2 0.0000 0.5000 0.2822 1
Pm3 0.5000 0.0000 0.4902 1
Pm4 0.5000 0.5000 0.7883 1
Ag1 0.0000 0.5000 0.5590 1
Ag2 0.5000 0.0000 0.2165 1
Ag3 0.5000 0.5000 0.0650 1
Hg1 0.0000 0.0000 0.7202 1


Entry 2:
# GGA-PBE Pm3Ag2Hg7, optimized geometry
# - space group = P2/m
# - ΔE_f (meV per atom) = -243
# - Fermi-level density of states (states/eV/f.u.) = 7.9
data_Pm3Ag2Hg7
_symmetry_space_group_name_H-M 'P 1'
_symmetry_Int_Tables_number 1
_symmetry_space_group_name_Hall 'P 1'
_cell_length_a 4.8948
_cell_length_b 3.9084
_cell_length_c 16.0887
_cell_angle_alpha 90.00
_cell_angle_beta 98.49
_cell_angle_gamma 90.00
loop_
_atom_site_label
_atom_site_fract_x
_atom_site_fract_y
_atom_site_fract_z
_atom_site_occupancy
Pm1 0.0000 0.0000 0.0000 1
Pm2 0.3143 0.5000 0.6328 1
Pm3 0.6857 0.5000 0.3672 1
Ag1 0.1461 0.0000 0.2842 1
Ag2 0.8539 0.0000 0.7158 1
Hg1 0.0789 0.5000 0.1524 1
Hg2 0.2283 0.0000 0.4552 1
Hg3 0.4047 0.0000 0.8173 1
Hg4 0.5000 0.5000 0.0000 1
Hg5 0.5953 0.0000 0.1827 1
Hg6 0.7717 0.0000 0.5448 1
Hg7 0.9211 0.5000 0.8476 1


Entry 3:
# GGA-PBE PmAgHg3, optimized geometry
# - space group = Pnma
# - ΔE_f (meV per atom) = -246
# - relative energy among the computed polymorphs (meV per atom) = 15
# - Fermi-level density of states (states/eV/f.u.) = 2.1
data_PmAgHg3
_symmetry_space_group_name_H-M 'P 1'
_symmetry_Int_Tables_number 1
_symmetry_space_group_name_Hall 'P 1'
_cell_length_a 9.7212
_cell_length_b 5.0305
_cell_length_c 9.8800
_cell_angle_alpha 90.00
_cell_angle_beta 90.00
_cell_angle_gamma 90.00
loop_
_atom_site_label
_atom_site_fract_x
_atom_site_fract_y
_atom_site_fract_z
_atom_site_occupancy
Pm1 0.2486 0.2500 0.0027 1
Pm2 0.2514 0.7500 0.5027 1
Pm3 0.7486 0.2500 0.4973 1
Pm4 0.7514 0.7500 0.9973 1
Ag1 0.1258 0.2500 0.3284 1
Ag2 0.3742 0.7500 0.8284 1
Ag3 0.6258 0.2500 0.1716 1
Ag4 0.8742 0.7500 0.6716 1
Hg1 0.0651 0.2500 0.6126 1
Hg2 0.0821 0.7500 0.8679 1
Hg3 0.1350 0.7500 0.1718 1
Hg4 0.3650 0.2500 0.6718 1
Hg5 0.4179 0.2500 0.3679 1
Hg6 0.4349 0.7500 0.1126 1
Hg7 0.5651 0.2500 0.8874 1
Hg8 0.5821 0.7500 0.6321 1
Hg9 0.6350 0.7500 0.3282 1
Hg10 0.8650 0.2500 0.8282 1
Hg11 0.9179 0.2500 0.1321 1
Hg12 0.9349 0.7500 0.3874 1


Entry 4:
# GGA-PBE Pm8AgHg2, optimized geometry
# - space group = C2/m
# - ΔE_f (meV per atom) = -182
# - Fermi-level density of states (states/eV/f.u.) = 11.1
data_Pm8AgHg2
_symmetry_space_group_name_H-M 'P 1'
_symmetry_Int_Tables_number 1
_symmetry_space_group_name_Hall 'P 1'
_cell_length_a 9.6875
_cell_length_b 9.6875
_cell_length_c 7.0962
_cell_angle_alpha 104.15
_cell_angle_beta 104.15
_cell_angle_gamma 31.72
loop_
_atom_site_label
_atom_site_fract_x
_atom_site_fract_y
_atom_site_fract_z
_atom_site_occupancy
Pm1 0.0218 0.0218 0.2676 1
Pm2 0.1991 0.1991 0.8147 1
Pm3 0.3378 0.3378 0.5275 1
Pm4 0.4097 0.4097 0.0406 1
Pm5 0.5903 0.5903 0.9594 1
Pm6 0.6622 0.6622 0.4725 1
Pm7 0.8009 0.8009 0.1853 1
Pm8 0.9782 0.9782 0.7324 1
Ag1 0.5000 0.5000 0.5000 1
Hg1 0.1849 0.1849 0.2332 1
Hg2 0.8151 0.8151 0.7668 1


Entry 5:
# GGA-PBE PmAg2Hg6, optimized geometry
# - space group = C2/m
# - ΔE_f (meV per atom) = -54
# - Fermi-level density of states (states/eV/f.u.) = 4.2
data_PmAg2Hg6
_symmetry_space_group_name_H-M 'P 1'
_symmetry_Int_Tables_number 1
_symmetry_space_group_name_Hall 'P 1'
_cell_length_a 8.6280
_cell_length_b 8.6280
_cell_length_c 3.3635
_cell_angle_alpha 100.97
_cell_angle_beta 100.97
_cell_angle_gamma 60.44
loop_
_atom_site_label
_atom_site_fract_x
_atom_site_fract_y
_atom_site_fract_z
_atom_site_occupancy
Pm1 0.0000 0.0000 0.0000 1
Ag1 0.3562 0.3562 0.8598 1
Ag2 0.6438 0.6438 0.1402 1
Hg1 0.0066 0.3484 0.6791 1
Hg2 0.3309 0.6691 0.5000 1
Hg3 0.3484 0.0066 0.6791 1
Hg4 0.6516 0.9934 0.3209 1
Hg5 0.6691 0.3309 0.5000 1
Hg6 0.9934 0.6516 0.3209 1


Entry 6:
# GGA-PBE Pm6Ag5Hg, optimized geometry
# - space group = P2/m
# - ΔE_f (meV per atom) = -307
# - relative energy among the computed polymorphs (meV per atom) = 0
# - Fermi-level density of states (states/eV/f.u.) = 8.9
data_Pm6Ag5Hg
_symmetry_space_group_name_H-M 'P 1'
_symmetry_Int_Tables_number 1
_symmetry_space_group_name_Hall 'P 1'
_cell_length_a 5.3219
_cell_length_b 7.4149
_cell_length_c 8.4047
_cell_angle_alpha 90.00
_cell_angle_beta 108.32
_cell_angle_gamma 90.00
loop_
_atom_site_label
_atom_site_fract_x
_atom_site_fract_y
_atom_site_fract_z
_atom_site_occupancy
Pm1 0.0000 0.2459 0.0000 1
Pm2 0.0000 0.7541 0.0000 1
Pm3 0.3310 0.2483 0.6638 1
Pm4 0.3310 0.7517 0.6638 1
Pm5 0.6690 0.2483 0.3362 1
Pm6 0.6690 0.7517 0.3362 1
Ag1 0.1674 0.0000 0.3320 1
Ag2 0.1667 0.5000 0.3308 1
Ag3 0.5000 0.0000 0.0000 1
Ag4 0.8326 0.0000 0.6680 1
Ag5 0.8333 0.5000 0.6692 1
Hg1 0.5000 0.5000 0.0000 1


Entry 7:
# GGA-PBE Pm3AgHg5, optimized geometry
# - space group = P6_3/mcm
# - ΔE_f (meV per atom) = -401
# - Fermi-level density of states (states/eV/f.u.) = 6.8
data_Pm3AgHg5
_symmetry_space_group_name_H-M 'P 1'
_symmetry_Int_Tables_number 1
_symmetry_space_group_name_Hall 'P 1'
_cell_length_a 9.1133
_cell_length_b 9.1133
_cell_length_c 6.3864
_cell_angle_alpha 90.00
_cell_angle_beta 90.00
_cell_angle_gamma 120.00
loop_
_atom_site_label
_atom_site_fract_x
_atom_site_fract_y
_atom_site_fract_z
_atom_site_occupancy
Pm1 0.0000 0.3561 0.2500 1
Pm2 0.0000 0.6439 0.7500 1
Pm3 0.3561 0.0000 0.2500 1
Pm4 0.3561 0.3561 0.7500 1
Pm5 0.6439 0.0000 0.7500 1
Pm6 0.6439 0.6439 0.2500 1
Ag1 0.0000 0.0000 0.0000 1
Ag2 0.0000 0.0000 0.5000 1
Hg1 0.0000 0.3036 0.7500 1
Hg2 0.0000 0.6964 0.2500 1
Hg3 0.3036 0.0000 0.7500 1
Hg4 0.3036 0.3036 0.2500 1
Hg5 0.3333 0.6667 0.0000 1
Hg6 0.3333 0.6667 0.5000 1
Hg7 0.6667 0.3333 0.0000 1
Hg8 0.6667 0.3333 0.5000 1
Hg9 0.6964 0.0000 0.2500 1
Hg10 0.6964 0.6964 0.7500 1


Entry 8:
# GGA-PBE Pm4AgHg, optimized geometry
# - space group = P4/mmm
# - ΔE_f (meV per atom) = -228
# - relative energy among the computed polymorphs (meV per atom) = 0
# - Fermi-level density of states (states/eV/f.u.) = 7.0
data_Pm4AgHg
_symmetry_space_group_name_H-M 'P 1'
_symmetry_Int_Tables_number 1
_symmetry_space_group_name_Hall 'P 1'
_cell_length_a 3.7262
_cell_length_b 3.7262
_cell_length_c 12.7891
_cell_angle_alpha 90.00
_cell_angle_beta 90.00
_cell_angle_gamma 90.00
loop_
_atom_site_label
_atom_site_fract_x
_atom_site_fract_y
_atom_site_fract_z
_atom_site_occupancy
Pm1 0.0000 0.0000 0.1462 1
Pm2 0.0000 0.0000 0.8538 1
Pm3 0.5000 0.5000 0.3449 1
Pm4 0.5000 0.5000 0.6551 1
Ag1 0.5000 0.5000 0.0000 1
Hg1 0.0000 0.0000 0.5000 1


no.,magnetization (μB per atom)
1,0.000
2,0.000
3,0.000
4,0.000
5,0.000
6,0.000
7,0.000
8,0.226